{
  "formula": "Cs2ZnCu",
  "functional": "PBE",
  "state": "relaxed",
  "formation_energy_ev_per_fu": 1.8,
  "spacegroup": "No. 122",
  "magmom_total_mub_per_cell": 0.013,
  "e_above_lowest_polymorph_ev_per_fu": 0.370,
  "cell": [[-4.969, 4.969, 4.122], [4.969, -4.969, 4.122], [4.969, 4.969, -4.122]],
  "species": ["Cs", "Cs", "Cs", "Cs", "Zn", "Zn", "Cu", "Cu"],
  "fractional_positions": [[0.100, 0.125, 0.475], [0.375, 0.900, 0.025], [0.650, 0.625, 0.525], [0.875, 0.350, 0.975], [0.250, 0.750, 0.500], [0.500, 0.500, 0.000], [0.000, 0.000, 0.000], [0.750, 0.250, 0.500]]
}

---

{
  "formula": "SrLa2Pb",
  "functional": "PBE",
  "state": "relaxed",
  "formation_energy_ev_per_fu": -0.2,
  "spacegroup": "No. 122",
  "magmom_total_mub_per_cell": 0.002,
  "cell": [[-4.793, 4.793, 3.467], [4.793, -4.793, 3.467], [4.793, 4.793, -3.467]],
  "species": ["Sr", "Sr", "La", "La", "La", "La", "Pb", "Pb"],
  "fractional_positions": [[0.000, 0.000, 0.000], [0.750, 0.250, 0.500], [0.169, 0.625, 0.044], [0.375, 0.419, 0.544], [0.581, 0.125, 0.956], [0.875, 0.831, 0.456], [0.250, 0.750, 0.500], [0.500, 0.500, 0.000]]
}

---

{
  "formula": "TbY3Pd",
  "functional": "PBE",
  "state": "relaxed",
  "formation_energy_ev_per_fu": -1.3,
  "spacegroup": "No. 12",
  "magmom_total_mub_per_cell": 0.002,
  "e_above_lowest_polymorph_ev_per_fu": 0.440,
  "cell": [[5.824, -4.287, 0.000], [5.824, 4.287, 0.000], [-5.089, 0.000, 6.137]],
  "species": ["Tb", "Tb", "Y", "Y", "Y", "Y", "Y", "Y", "Pd", "Pd"],
  "fractional_positions": [[0.071, 0.071, 0.274], [0.929, 0.929, 0.726], [0.016, 0.412, 0.747], [0.412, 0.016, 0.747], [0.460, 0.460, 0.687], [0.540, 0.540, 0.313], [0.588, 0.984, 0.253], [0.984, 0.588, 0.253], [0.232, 0.232, 0.089], [0.768, 0.768, 0.911]]
}